# 1
# K2ScFeBi

A relaxed K2ScFeBi crystal (PBE, Alexandria via LeMat-Bulk).

Computed properties:
Total energy (eV per atom): -3.493
Total moment (μB/atom): 0.34
Calculated formation energy (eV/f.u.): 3.40

abc: 5.997 4.821 5.997
angles: 90.00 90.00 90.00
Each line ends with the local moment (μB).
Atoms (fractional coordinates):
Sc 0.000 0.500 0.000  -0.56
K 0.000 0.000 0.500  -0.01
K 0.500 0.000 0.000  0.00
Bi 0.500 0.500 0.500  0.23
Fe 0.000 0.000 0.000  2.19

# 2
# K2FeSiBi

A relaxed K2FeSiBi crystal (PBE, Alexandria via LeMat-Bulk).

Computed properties:
Total energy (eV per atom): -3.152
Energy relative to the elements, uncorrected (eV/atom): 0.8404
Total moment (μB/atom): 0.87

abc: 6.153 5.009 6.153
angles: 90.00 90.00 90.00
Each line ends with the local moment (μB).
Atoms (fractional coordinates):
K 0.000 0.000 0.500  0.01
K 0.500 0.000 0.000  0.01
Si 0.500 0.500 0.500  0.48
Bi 0.000 0.500 0.000  -0.15
Fe 0.000 0.000 0.000  2.54

# 3
# KSr2FeBi

A relaxed KSr2FeBi crystal (PBE, Alexandria via LeMat-Bulk).

Computed properties:
Total energy (eV per atom): -3.029
Total moment (μB/atom): 0.41
Calculated formation energy (eV/f.u.): 1.66

abc: 5.771 5.636 5.771
angles: 90.00 90.00 90.00
Each line ends with the local moment (μB).
Atoms (fractional coordinates):
Sr 0.000 0.000 0.500  -0.07
Sr 0.500 0.000 0.000  -0.04
K 0.000 0.500 0.000  0.00
Bi 0.500 0.500 0.500  0.10
Fe 0.000 0.000 0.000  2.31

# 4
# KFeBiTe2

A relaxed KFeBiTe2 crystal (PBE, Alexandria via LeMat-Bulk).

Computed properties:
Total energy (eV per atom): -3.581
Energy relative to the elements, uncorrected (eV/atom): 0.3644
Total moment (μB/atom): 0.00

abc: 5.043 5.512 5.043
angles: 90.00 90.00 90.00
Atoms (fractional coordinates):
K 0.000 0.500 0.000
Te 0.000 0.000 0.500
Te 0.500 0.000 0.000
Bi 0.500 0.500 0.500
Fe 0.000 0.000 0.000